This record from Alexandria via LeMat-Bulk describes YNiOs after structural relaxation. The functional is GGA-PBE.

## Properties
- Calculated formation energy: 1.72 eV per formula unit
- V: 50.51 Å³/cell
- Fermi-level density of states: 3.0 states/eV/f.u.

abc: 2.8963 2.8963 6.9530
angles: 90.00 90.00 120.00
Fractional positions:
Ni1 0.0000 0.0000 0.0251
Os1 0.6667 0.3333 0.3017
Y1 0.3333 0.6667 0.6732

This record from Alexandria via LeMat-Bulk describes Zr2NiSe after structural relaxation. The functional is GGA-PBE.

## Properties
- V: 72.55 Å³/cell
- Fermi-level density of states: 2.8 states/eV/f.u.

abc: 4.8754 4.8754 4.8754
angles: 131.80 119.55 80.81
Fractional positions:
Se1 0.7500 0.2500 0.5000
Zr1 0.4982 0.4982 0.0000
Ni1 0.2500 0.7500 0.5000
Zr2 0.0018 0.0018 0.0000

This record from Alexandria via LeMat-Bulk describes Sm4ZnOs after structural relaxation. The functional is GGA-PBE.

## Properties
- Calculated formation energy: -1.04 eV per formula unit
- V: 334.34 Å³/cell
- Fermi-level density of states: 6.7 states/eV/f.u.

abc: 6.2254 8.3274 8.0555
angles: 114.32 104.23 105.78
Fractional positions:
Sm1 0.0417 0.2148 0.8584
Sm2 0.2155 0.2905 0.3519
Sm3 0.3636 0.9386 0.6481
Sm4 0.3168 0.6437 0.8584
Zn1 0.6253 0.3753 0.7505
Os1 0.7499 0.9999 0.9998
Sm5 0.9583 0.7852 0.1416
Sm6 0.7845 0.7095 0.6481
Zn2 0.3747 0.6247 0.2495
Sm7 0.6832 0.3563 0.1416
Sm8 0.6364 0.0614 0.3519
Os2 0.2501 0.0001 0.0002

This record from Alexandria via LeMat-Bulk describes LaP3Cl after structural relaxation. The functional is GGA-PBE.

## Properties
- V: 105.74 Å³/cell
- Fermi-level density of states: 2.9 states/eV/f.u.

abc: 4.7288 4.7288 4.7288
angles: 90.00 90.00 90.00
Fractional positions:
La1 0.5000 0.5000 0.5000
P1 0.0000 0.5000 0.0000
Cl1 0.0000 0.0000 0.0000
P2 0.0000 0.0000 0.5000
P3 0.5000 0.0000 0.0000

no.,calculated density (g/cm3),uncorrected energy (eV/atom)
1,11.11,-7.25
2,7.33,-7.12
3,8.51,-5.40
4,4.20,-4.38